# 1
ReRu2PtPb | GGA-PBE | optimized geometry

Results
- formation enthalpy at 0 K (eV per atom) = 1.817

Unit cell a=4.895 b=4.760 c=4.895 alpha=90.00 beta=90.00 gamma=90.00
Element x y z (fractional)
Pt 0.000 0.000 0.000
Re 0.000 0.500 0.000
Ru 0.000 0.000 0.500
Ru 0.500 0.000 0.000
Pb 0.500 0.500 0.500

---

# 2
Y2RePtPb | GGA-PBE | optimized geometry

Results
- formation enthalpy at 0 K (eV per atom) = 1.351

Unit cell a=5.630 b=4.972 c=5.630 alpha=90.00 beta=90.00 gamma=90.00
Element x y z (fractional)
Y 0.500 0.000 0.000
Y 0.000 0.000 0.500
Re 0.000 0.500 0.000
Pt 0.500 0.500 0.500
Pb 0.000 0.000 0.000

---

# 3
ZnRePtPb2 | GGA-PBE | optimized geometry

Results
- formation enthalpy at 0 K (eV per atom) = 1.426

Unit cell a=5.113 b=4.789 c=5.113 alpha=90.00 beta=90.00 gamma=90.00
Element x y z (fractional)
Pt 0.500 0.500 0.500
Zn 0.000 0.000 0.000
Pb 0.500 0.000 0.000
Pb 0.000 0.000 0.500
Re 0.000 0.500 0.000

---

# 4
PtRhPb2 | GGA-PBE | optimized geometry

Results
- distance to the lowest polymorph of the same formula (eV per atom) = 0.178
- formation enthalpy at 0 K (eV per atom) = 0.094

Unit cell a=7.375 b=7.375 c=7.375 alpha=29.85 beta=29.85 gamma=29.85
Element x y z (fractional)
Rh 0.000 0.000 0.000
Pb 0.750 0.750 0.750
Pb 0.250 0.250 0.250
Pt 0.500 0.500 0.500

---

# 5
Pt2RhPb | GGA-PBE | optimized geometry

Results
- formation enthalpy at 0 K (eV per atom) = 0.042

Unit cell a=4.774 b=4.774 c=4.635 alpha=74.36 beta=74.36 gamma=44.31
Element x y z (fractional)
Pt 0.003 0.003 0.974
Pt 0.749 0.749 0.754
Rh 0.498 0.498 0.516
Pb 0.249 0.249 0.257

---

# 6
PtRhPb2 | GGA-PBE | optimized geometry

Results
- distance to the lowest polymorph of the same formula (eV per atom) = 0.165
- formation enthalpy at 0 K (eV per atom) = 0.081

Unit cell a=3.424 b=3.424 c=6.893 alpha=90.00 beta=90.00 gamma=90.00
Element x y z (fractional)
Pb 0.000 0.000 0.745
Pb 0.000 0.000 0.255
Rh 0.500 0.500 0.500
Pt 0.500 0.500 0.000

---

# 7
PtRhPb4 | GGA-PBE | optimized geometry

Results
- distance to the lowest polymorph of the same formula (eV per atom) = 0.043
- formation enthalpy at 0 K (eV per atom) = -0.064

Unit cell a=4.211 b=7.370 c=18.666 alpha=90.00 beta=90.00 gamma=90.00
Element x y z (fractional)
Rh 0.750 0.753 0.064
Rh 0.750 0.253 0.436
Rh 0.250 0.247 0.936
Rh 0.250 0.747 0.564
Pb 0.250 0.641 0.959
Pb 0.750 0.408 0.851
Pb 0.250 0.524 0.427
Pb 0.250 0.068 0.787
Pb 0.750 0.932 0.213
Pb 0.750 0.359 0.041
Pb 0.750 0.976 0.927
Pb 0.250 0.024 0.073
Pb 0.250 0.141 0.541
Pb 0.250 0.568 0.713
Pb 0.750 0.432 0.287
Pb 0.250 0.092 0.351
Pb 0.750 0.908 0.649
Pb 0.250 0.592 0.149
Pb 0.750 0.476 0.573
Pb 0.750 0.859 0.459
Pt 0.750 0.771 0.793
Pt 0.750 0.271 0.707
Pt 0.250 0.229 0.207
Pt 0.250 0.729 0.293

---

# 8
PtRhPb2 | GGA-PBE | optimized geometry

Results
- distance to the lowest polymorph of the same formula (eV per atom) = 0.398
- formation enthalpy at 0 K (eV per atom) = 0.314

Unit cell a=6.311 b=6.311 c=7.395 alpha=64.74 beta=64.74 gamma=90.00
Element x y z (fractional)
Pb 0.375 0.384 0.750
Pb 0.875 0.866 0.750
Pb 0.134 0.625 0.250
Pb 0.616 0.125 0.250
Pt 0.750 0.250 0.500
Pt 0.000 0.000 0.000
Rh 0.250 0.750 0.500
Rh 0.500 0.500 0.000

---

# 9
PtRhPb2 | GGA-PBE | optimized geometry

Results
- distance to the lowest polymorph of the same formula (eV per atom) = 0.169
- formation enthalpy at 0 K (eV per atom) = 0.086

Unit cell a=4.854 b=4.854 c=4.854 alpha=60.00 beta=60.00 gamma=60.00
Element x y z (fractional)
Pb 0.750 0.750 0.750
Pb 0.250 0.250 0.250
Rh 0.000 0.000 0.000
Pt 0.500 0.500 0.500

---

# 10
PtRhPb2 | GGA-PBE | optimized geometry

Results
- distance to the lowest polymorph of the same formula (eV per atom) = 0.074
- formation enthalpy at 0 K (eV per atom) = -0.010

Unit cell a=3.837 b=3.842 c=5.681 alpha=90.00 beta=90.00 gamma=90.00
Element x y z (fractional)
Pb 0.500 0.500 0.306
Pb 0.000 0.000 0.941
Rh 0.500 0.500 0.796
Pt 0.000 0.000 0.457

---

# 11
PtRhPb2 | GGA-PBE | optimized geometry

Results
- distance to the lowest polymorph of the same formula (eV per atom) = 0.211
- formation enthalpy at 0 K (eV per atom) = 0.127

Unit cell a=4.660 b=4.660 c=5.666 alpha=77.69 beta=77.69 gamma=44.34
Element x y z (fractional)
Pt 0.000 0.000 0.500
Pb 0.751 0.751 0.247
Pb 0.249 0.249 0.753
Rh 0.500 0.500 0.000

---

# 12
Pt2RhPb | GGA-PBE | optimized geometry

Results
- formation enthalpy at 0 K (eV per atom) = 0.065

Unit cell a=4.961 b=4.961 c=4.657 alpha=78.95 beta=78.95 gamma=38.45
Element x y z (fractional)
Rh 0.500 0.500 0.000
Pt 0.754 0.754 0.234
Pt 0.246 0.246 0.766
Pb 0.000 0.000 0.500

---

# 13
Pt2Rh2Pb | GGA-PBE | optimized geometry

Results
- distance to the lowest polymorph of the same formula (eV per atom) = 0.047
- formation enthalpy at 0 K (eV per atom) = 0.209

Unit cell a=7.187 b=7.187 c=3.426 alpha=90.00 beta=90.00 gamma=90.00
Element x y z (fractional)
Pb 0.000 0.000 0.000
Pb 0.500 0.500 0.000
Pt 0.134 0.366 0.000
Pt 0.366 0.866 0.000
Pt 0.634 0.134 0.000
Pt 0.866 0.634 0.000
Rh 0.344 0.156 0.500
Rh 0.844 0.344 0.500
Rh 0.656 0.844 0.500
Rh 0.156 0.656 0.500

---

# 14
PtRhPb2 | GGA-PBE | optimized geometry

Results
- distance to the lowest polymorph of the same formula (eV per atom) = 0.000
- formation enthalpy at 0 K (eV per atom) = -0.084

Unit cell a=4.180 b=3.713 c=5.720 alpha=71.18 beta=90.00 gamma=90.00
Element x y z (fractional)
Pb 0.000 0.979 0.917
Pb 0.500 0.274 0.328
Rh 0.500 0.540 0.793
Pt 0.000 0.707 0.462

---

# 15
Pt2RhPb | GGA-PBE | optimized geometry

Results
- formation enthalpy at 0 K (eV per atom) = 0.293

Unit cell a=9.547 b=9.547 c=9.547 alpha=17.99 beta=17.99 gamma=17.99
Element x y z (fractional)
Pb 0.000 0.000 0.000
Rh 0.500 0.500 0.500
Pt 0.243 0.243 0.243
Pt 0.757 0.757 0.757